[1]
Compound: Al2NiPdN
Source: the Alexandria database
Functional: GGA-PBE
Structure: optimized geometry

Geometry as POSCAR:
```
Al2NiPdN
1.0
-3.205 -1.748 -2.869
-0.164 -3.895 2.557
-3.356 1.859 2.616
Al Ni Pd N
2 1 1 1
Direct
0.000 0.000 0.500 Al
0.500 0.000 0.000 Al
0.000 0.500 0.000 Ni
0.000 0.000 0.000 Pd
0.500 0.500 0.500 N
```

Crystal system   tetragonal
D(E_F)   6.8 states/eV/f.u.
Energy relative to the elements, uncorrected   1.307 eV per atom
SG   P4/mmm (123)

***

[2]
Compound: PmAlNiN
Source: the Alexandria database
Functional: GGA-PBE
Structure: optimized geometry

Geometry as POSCAR:
```
PmAlNiN
1.0
-1.564 1.872 2.800
-1.284 -3.185 1.413
7.489 -0.896 4.784
Al Ni N Pm
2 2 2 2
Direct
0.000 0.500 0.337 Al
0.500 0.000 0.663 Al
0.500 0.500 0.500 Ni
0.000 0.000 0.500 Ni
0.500 0.000 0.875 N
0.000 0.500 0.125 N
0.000 0.500 0.860 Pm
0.500 0.000 0.140 Pm
```

Crystal system   tetragonal
D(E_F)   1.5 states/eV/f.u.
Energy relative to the elements, uncorrected   -0.920 eV per atom
SG   P4/nmm (129)

***

[3]
Compound: PrAlNiN
Source: the Alexandria database
Functional: GGA-PBE
Structure: optimized geometry

Geometry as POSCAR:
```
PrAlNiN
1.0
3.776 0.000 0.000
0.000 3.776 0.000
0.000 0.000 8.928
N Pr Al Ni
2 2 2 2
Direct
0.000 0.500 0.128 N
0.500 0.000 0.872 N
0.000 0.500 0.857 Pr
0.500 0.000 0.143 Pr
0.000 0.500 0.340 Al
0.500 0.000 0.660 Al
0.500 0.500 0.500 Ni
0.000 0.000 0.500 Ni
```

Crystal system   tetragonal
D(E_F)   1.5 states/eV/f.u.
Energy relative to the elements, uncorrected   -0.875 eV per atom
SG   P4/nmm (129)

***

[4]
Compound: Al2NiSN
Source: the Alexandria database
Functional: GGA-PBE
Structure: optimized geometry

Geometry as POSCAR:
```
Al2NiSN
1.0
-0.616 0.224 -4.124
-0.487 -3.688 -0.127
-4.093 0.519 0.639
Al Ni N S
2 1 1 1
Direct
0.500 0.000 0.000 Al
0.000 0.000 0.500 Al
0.000 0.500 0.000 Ni
0.000 0.000 0.000 N
0.500 0.500 0.500 S
```

Crystal system   tetragonal
D(E_F)   1.7 states/eV/f.u.
Energy relative to the elements, uncorrected   0.004 eV per atom
SG   P4/mmm (123)

***

[5]
Compound: AlNiSe2N
Source: the Alexandria database
Functional: GGA-PBE
Structure: optimized geometry

Geometry as POSCAR:
```
AlNiSe2N
1.0
5.015 0.000 0.000
0.000 5.015 0.000
0.000 0.000 3.508
Se Al Ni N
2 1 1 1
Direct
0.500 0.000 0.000 Se
0.000 0.500 0.000 Se
0.000 0.000 0.000 Al
0.500 0.500 0.500 Ni
0.000 0.000 0.500 N
```

Crystal system   tetragonal
ΔE to the lowest computed polymorph   173 meV/atom
D(E_F)   4.3 states/eV/f.u.
Energy relative to the elements, uncorrected   0.577 eV per atom
SG   P4/mmm (123)

***

[6]
Compound: AlNiSeN2
Source: the Alexandria database
Functional: GGA-PBE
Structure: optimized geometry

Geometry as POSCAR:
```
AlNiSeN2
1.0
3.698 0.000 0.000
0.000 3.698 0.000
0.000 0.000 5.172
Ni N Se Al
1 2 1 1
Direct
0.000 0.000 0.000 Ni
0.000 0.500 0.000 N
0.500 0.000 0.000 N
0.000 0.000 0.500 Se
0.500 0.500 0.500 Al
```

Crystal system   tetragonal
ΔE to the lowest computed polymorph   165 meV/atom
D(E_F)   2.8 states/eV/f.u.
Energy relative to the elements, uncorrected   0.994 eV per atom
SG   P4/mmm (123)

***

[7]
Compound: AlNiSeN2
Source: the Alexandria database
Functional: GGA-PBE
Structure: optimized geometry

Geometry as POSCAR:
```
AlNiSeN2
1.0
-1.832 -2.990 0.891
2.807 -1.128 1.986
-2.141 2.664 4.540
N Al Ni Se
2 1 1 1
Direct
0.500 0.000 0.000 N
0.000 0.500 0.000 N
0.000 0.000 0.000 Al
0.500 0.500 0.500 Ni
0.000 0.000 0.500 Se
```

Crystal system   tetragonal
ΔE to the lowest computed polymorph   0 meV/atom
D(E_F)   3.7 states/eV/f.u.
Energy relative to the elements, uncorrected   0.829 eV per atom
SG   P4/mmm (123)

***

[8]
Compound: AlNi2SeN
Source: the Alexandria database
Functional: GGA-PBE
Structure: optimized geometry

Geometry as POSCAR:
```
AlNi2SeN
1.0
4.631 0.000 0.000
0.000 3.441 0.000
0.000 0.000 4.631
Ni N Al Se
2 1 1 1
Direct
0.500 0.000 0.000 Ni
0.000 0.000 0.500 Ni
0.000 0.500 0.000 N
0.000 0.000 0.000 Al
0.500 0.500 0.500 Se
```

Crystal system   tetragonal
D(E_F)   4.5 states/eV/f.u.
Energy relative to the elements, uncorrected   0.735 eV per atom
SG   P4/mmm (123)

***

- What is the D(E_F) in the fourth record?
  1.7 states/eV/f.u.

***

- Among the records above, which one has the lowest energy relative to the elements, uncorrected?
  PmAlNiN

***

- Which value of D(E_F) does entry 5 give?
  4.3 states/eV/f.u.

***

- Which value of energy relative to the elements, uncorrected does entry 7 give?
  0.829 eV per atom